Record 1
Compound: InSe3Br
Source: Alexandria
Functional: PBE
Structure: optimized geometry

Unit cell a=6.8954 b=7.1794 c=8.0789 alpha=107.49 beta=101.23 gamma=95.38
Positions (direct):
In: 0.0000 0.0000 0.0000
In: 0.1609 0.6565 0.3224
Se: 0.1319 0.3680 0.9959
Se: 0.1914 0.0169 0.3128
Se: 0.4547 0.5402 0.5049
Se: 0.5220 0.3020 0.2631
Se: 0.7347 0.5789 0.2080
Se: 0.8123 0.4817 0.9266
Br: 0.0801 0.7702 0.7122
Br: 0.6186 0.9646 0.9279

Output
space-group type = No. 1
formation energy without anion corrections = -0.32 eV/atom
M_tot = 0.000 μB/atom


Record 2
Compound: InSeBr
Source: Alexandria
Functional: PBE
Structure: optimized geometry

Unit cell a=6.3237 b=6.3237 c=6.3237 alpha=146.03 beta=146.03 gamma=48.80
Positions (direct):
In: 0.0000 0.0000 0.0000
Se: 0.5998 0.5998 0.0000
Br: 0.3155 0.3155 0.0000

Output
space-group type = No. 107
formation energy without anion corrections = -0.17 eV/atom
M_tot = 0.000 μB/atom


Record 3
Compound: InSe2Br
Source: Alexandria
Functional: PBE
Structure: optimized geometry

Unit cell a=7.5282 b=7.5282 c=7.5282 alpha=31.60 beta=31.60 gamma=31.60
Positions (direct):
In: 0.0000 0.0000 0.0000
Se: 0.2644 0.2644 0.2644
Se: 0.7356 0.7356 0.7356
Br: 0.5000 0.5000 0.5000

Output
space-group type = No. 166
formation energy without anion corrections = -0.10 eV/atom
M_tot = 0.000 μB/atom


Record 4
Compound: In2Se2Br
Source: Alexandria
Functional: PBE
Structure: optimized geometry

Unit cell a=6.9301 b=6.9301 c=6.9301 alpha=145.28 beta=131.79 gamma=60.77
Positions (direct):
In: 0.1868 0.1868 0.0000
In: 0.8132 0.8132 0.0000
Se: 0.3406 0.8406 0.5000
Se: 0.6594 0.1594 0.5000
Br: 0.0000 0.5000 0.5000

Output
space-group type = No. 71
formation energy without anion corrections = -0.51 eV/atom
M_tot = 0.000 μB/atom


Record 5
Compound: InSe2Br
Source: Alexandria
Functional: PBE
Structure: optimized geometry

Unit cell a=5.0752 b=5.0752 c=5.0752 alpha=60.00 beta=60.00 gamma=60.00
Positions (direct):
In: 0.0000 0.0000 0.0000
Se: 0.2500 0.2500 0.2500
Se: 0.7500 0.7500 0.7500
Br: 0.5000 0.5000 0.5000

Output
space-group type = No. 225
formation energy without anion corrections = 0.27 eV/atom
M_tot = 0.000 μB/atom


Record 6
Compound: InSeBr3
Source: Alexandria
Functional: PBE
Structure: optimized geometry

Unit cell a=7.5378 b=7.7661 c=8.4909 alpha=64.53 beta=66.62 gamma=68.01
Positions (direct):
In: 0.0000 0.0000 0.0000
In: 0.1051 0.4725 0.9903
Se: 0.5341 0.4002 0.8896
Se: 0.6174 0.0629 0.0456
Br: 0.0919 0.0959 0.2282
Br: 0.1166 0.3253 0.7424
Br: 0.1413 0.6282 0.2140
Br: 0.1569 0.8345 0.7312
Br: 0.6209 0.4365 0.5751
Br: 0.7202 0.5826 0.1113

Output
space-group type = No. 1
formation energy without anion corrections = -0.55 eV/atom
M_tot = 0.000 μB/atom


Record 7
Compound: InSeBr2
Source: Alexandria
Functional: PBE
Structure: optimized geometry

Unit cell a=5.3752 b=5.3752 c=3.7172 alpha=90.00 beta=90.00 gamma=90.07
Positions (direct):
In: 0.0000 0.0000 0.0000
Se: 0.5000 0.5000 0.0000
Br: 0.0000 0.5000 0.5000
Br: 0.5000 0.0000 0.5000

Output
space-group type = No. 65
formation energy without anion corrections = 0.13 eV/atom
M_tot = 0.000 μB/atom


Record 8
Compound: InSeBr2
Source: Alexandria
Functional: PBE
Structure: optimized geometry

Unit cell a=7.7316 b=7.7316 c=7.7316 alpha=96.98 beta=96.98 gamma=139.21
Positions (direct):
In: 0.0000 0.0000 0.0000
In: 0.7500 0.2500 0.5000
Se: 0.2500 0.7500 0.5000
Se: 0.5000 0.5000 0.0000
Br: 0.3750 0.2195 0.3445
Br: 0.7805 0.1250 0.1555
Br: 0.8750 0.0305 0.6555
Br: 0.9695 0.6250 0.8445

Output
space-group type = No. 122
formation energy without anion corrections = -0.16 eV/atom
M_tot = 0.265 μB/atom


Record 9
Compound: InSeBr
Source: Alexandria
Functional: PBE
Structure: optimized geometry

Unit cell a=7.4266 b=7.4266 c=7.4266 alpha=32.41 beta=32.41 gamma=32.41
Positions (direct):
In: 0.0000 0.0000 0.0000
Se: 0.3898 0.3898 0.3898
Br: 0.8822 0.8822 0.8822

Output
space-group type = No. 160
formation energy without anion corrections = -0.65 eV/atom
M_tot = 0.000 μB/atom


Record 10
Compound: InSeBr
Source: Alexandria
Functional: PBE
Structure: optimized geometry

Unit cell a=3.9353 b=6.7450 c=8.1459 alpha=94.26 beta=103.80 gamma=90.00
Positions (direct):
In: 0.0000 0.0000 0.0000
In: 0.4132 0.4781 0.8226
Se: 0.0135 0.6049 0.0257
Se: 0.3916 0.0860 0.7806
Br: 0.2695 0.5908 0.5279
Br: 0.6218 0.0779 0.2457

Output
space-group type = No. 1
formation energy without anion corrections = -0.64 eV/atom
M_tot = 0.000 μB/atom


Record 11
Compound: InSeBr2
Source: Alexandria
Functional: PBE
Structure: optimized geometry

Unit cell a=5.2191 b=5.2191 c=4.4130 alpha=90.00 beta=90.00 gamma=94.33
Positions (direct):
In: 0.0000 0.0000 0.0000
Se: 0.5000 0.5000 0.0000
Br: 0.2578 0.7422 0.5000
Br: 0.7422 0.2578 0.5000

Output
space-group type = No. 65
formation energy without anion corrections = -0.08 eV/atom
M_tot = 0.000 μB/atom


Record 12
Compound: InSeBr
Source: Alexandria
Functional: PBE
Structure: optimized geometry

Unit cell a=8.1758 b=8.1758 c=5.1185 alpha=90.00 beta=90.00 gamma=120.00
Positions (direct):
In: 0.1066 0.2133 0.3333
In: 0.1066 0.8934 0.6667
In: 0.7867 0.8934 0.0000
Se: 0.1899 0.5950 0.0000
Se: 0.4050 0.5950 0.6667
Se: 0.4050 0.8101 0.3333
Br: 0.3946 0.1973 0.0000
Br: 0.8027 0.1973 0.6667
Br: 0.8027 0.6054 0.3333

Output
space-group type = No. 153
formation energy without anion corrections = -0.28 eV/atom
M_tot = 0.000 μB/atom


Record 13
Compound: InSeBr
Source: Alexandria
Functional: PBE
Structure: optimized geometry

Unit cell a=8.2818 b=7.5202 c=4.4247 alpha=83.49 beta=64.45 gamma=32.06
Positions (direct):
In: 0.0000 0.0000 0.0000
Se: 0.6139 0.6139 0.3861
Br: 0.3598 0.3598 0.6402

Output
space-group type = No. 42
formation energy without anion corrections = -0.36 eV/atom
M_tot = 0.000 μB/atom


Record 14
Compound: InSiSe2Br
Source: Alexandria
Functional: PBE
Structure: optimized geometry

Unit cell a=4.8861 b=4.8861 c=5.4127 alpha=90.00 beta=90.00 gamma=90.00
Positions (direct):
In: 0.0000 0.0000 0.0000
Si: 0.5000 0.5000 0.5000
Se: 0.0000 0.5000 0.5000
Se: 0.5000 0.0000 0.5000
Br: 0.5000 0.5000 0.0000

Output
space-group type = No. 123
formation energy without anion corrections = -0.10 eV/atom
M_tot = 0.000 μB/atom


Record 15
Compound: InSiSe2Br
Source: Alexandria
Functional: PBE
Structure: optimized geometry

Unit cell a=5.3074 b=5.3074 c=5.2513 alpha=90.00 beta=90.00 gamma=90.00
Positions (direct):
In: 0.0000 0.0000 0.0000
Si: 0.5000 0.5000 0.5000
Se: 0.0000 0.5000 0.0000
Se: 0.5000 0.0000 0.0000
Br: 0.0000 0.0000 0.5000

Output
space-group type = No. 123
formation energy without anion corrections = 0.47 eV/atom
M_tot = 0.000 μB/atom


Record 16
Compound: InSiSeBr2
Source: Alexandria
Functional: PBE
Structure: optimized geometry

Unit cell a=5.3043 b=5.3043 c=5.0029 alpha=90.00 beta=90.00 gamma=90.00
Positions (direct):
In: 0.0000 0.0000 0.0000
Si: 0.5000 0.5000 0.5000
Se: 0.5000 0.5000 0.0000
Br: 0.0000 0.5000 0.5000
Br: 0.5000 0.0000 0.5000

Output
space-group type = No. 123
formation energy without anion corrections = -0.22 eV/atom
M_tot = 0.000 μB/atom


Record 17
Compound: InSiSeBr2
Source: Alexandria
Functional: PBE
Structure: optimized geometry

Unit cell a=5.4072 b=5.4072 c=5.4166 alpha=90.00 beta=90.00 gamma=90.00
Positions (direct):
In: 0.0000 0.0000 0.0000
Si: 0.5000 0.5000 0.5000
Se: 0.0000 0.0000 0.5000
Br: 0.0000 0.5000 0.0000
Br: 0.5000 0.0000 0.0000

Output
space-group type = No. 123
formation energy without anion corrections = 0.31 eV/atom
M_tot = 0.141 μB/atom


Record 18
Compound: InSnSeBr
Source: Alexandria
Functional: PBE
Structure: optimized geometry

Unit cell a=4.0650 b=4.0673 c=10.3374 alpha=100.85 beta=90.24 gamma=119.94
Positions (direct):
In: 0.0000 0.0000 0.0000
Sn: 0.1466 0.2889 0.4404
Se: 0.7629 0.5244 0.2887
Br: 0.2719 0.5471 0.8142

Output
space-group type = No. 1
formation energy without anion corrections = -0.46 eV/atom
M_tot = 0.000 μB/atom


Record 19
Compound: Sr2InSeBr
Source: Alexandria
Functional: PBE
Structure: optimized geometry

Unit cell a=6.2801 b=6.2801 c=5.3991 alpha=90.00 beta=90.00 gamma=90.00
Positions (direct):
Sr: 0.0000 0.5000 0.0000
Sr: 0.5000 0.0000 0.0000
In: 0.0000 0.0000 0.0000
Se: 0.5000 0.5000 0.5000
Br: 0.0000 0.0000 0.5000

Output
space-group type = No. 123
formation energy without anion corrections = -0.42 eV/atom
M_tot = 0.000 μB/atom


Record 20
Compound: TaInSeBr2
Source: Alexandria
Functional: PBE
Structure: optimized geometry

Unit cell a=5.5637 b=5.5637 c=5.0792 alpha=90.00 beta=90.00 gamma=90.00
Positions (direct):
Ta: 0.0000 0.0000 0.0000
In: 0.5000 0.5000 0.5000
Se: 0.0000 0.0000 0.5000
Br: 0.0000 0.5000 0.0000
Br: 0.5000 0.0000 0.0000

Output
space-group type = No. 123
formation energy without anion corrections = -0.26 eV/atom
M_tot = 0.382 μB/atom


Record 21
Compound: TaInSeBr2
Source: Alexandria
Functional: PBE
Structure: optimized geometry

Unit cell a=5.3826 b=5.3826 c=5.3279 alpha=90.00 beta=90.00 gamma=90.00
Positions (direct):
Ta: 0.0000 0.0000 0.0000
In: 0.5000 0.5000 0.5000
Se: 0.5000 0.5000 0.0000
Br: 0.0000 0.5000 0.5000
Br: 0.5000 0.0000 0.5000

Output
space-group type = No. 123
formation energy without anion corrections = 0.86 eV/atom
M_tot = 0.693 μB/atom


Record 22
Compound: InTcSe2Br
Source: Alexandria
Functional: PBE
Structure: optimized geometry

Unit cell a=4.8537 b=4.8537 c=5.5354 alpha=90.00 beta=90.00 gamma=90.00
Positions (direct):
In: 0.0000 0.0000 0.0000
Tc: 0.5000 0.5000 0.5000
Se: 0.0000 0.5000 0.5000
Se: 0.5000 0.0000 0.5000
Br: 0.5000 0.5000 0.0000

Output
space-group type = No. 123
formation energy without anion corrections = -0.01 eV/atom
M_tot = 0.000 μB/atom


Record 23
Compound: In2TeSeBr
Source: Alexandria
Functional: PBE
Structure: optimized geometry

Unit cell a=6.3178 b=6.3178 c=5.4724 alpha=90.00 beta=90.00 gamma=90.00
Positions (direct):
In: 0.0000 0.5000 0.0000
In: 0.5000 0.0000 0.0000
Te: 0.0000 0.0000 0.0000
Se: 0.0000 0.0000 0.5000
Br: 0.5000 0.5000 0.5000

Output
space-group type = No. 123
formation energy without anion corrections = 0.04 eV/atom
M_tot = 0.000 μB/atom


Record 24
Compound: TlInSeBr2
Source: Alexandria
Functional: PBE
Structure: optimized geometry

Unit cell a=5.5964 b=5.5964 c=5.2768 alpha=90.00 beta=90.00 gamma=90.00
Positions (direct):
Tl: 0.0000 0.0000 0.0000
In: 0.5000 0.5000 0.5000
Se: 0.5000 0.5000 0.0000
Br: 0.0000 0.5000 0.5000
Br: 0.5000 0.0000 0.5000

Output
space-group type = No. 123
formation energy without anion corrections = -0.51 eV/atom
M_tot = 0.000 μB/atom


Record 25
Compound: InWSeBr2
Source: Alexandria
Functional: PBE
Structure: optimized geometry

Unit cell a=5.3918 b=5.3918 c=4.9523 alpha=90.00 beta=90.00 gamma=90.00
Positions (direct):
In: 0.0000 0.0000 0.0000
W: 0.5000 0.5000 0.5000
Se: 0.5000 0.5000 0.0000
Br: 0.0000 0.5000 0.5000
Br: 0.5000 0.0000 0.5000

Output
space-group type = No. 123
formation energy without anion corrections = 0.07 eV/atom
M_tot = 0.355 μB/atom


Record 26
Compound: InWSeBr2
Source: Alexandria
Functional: PBE
Structure: optimized geometry

Unit cell a=5.2305 b=5.2305 c=5.6276 alpha=90.00 beta=90.00 gamma=90.00
Positions (direct):
In: 0.0000 0.0000 0.0000
W: 0.5000 0.5000 0.5000
Se: 0.0000 0.0000 0.5000
Br: 0.0000 0.5000 0.0000
Br: 0.5000 0.0000 0.0000

Output
space-group type = No. 123
formation energy without anion corrections = 1.05 eV/atom
M_tot = 0.944 μB/atom


Record 27
Compound: YInSe2Br
Source: Alexandria
Functional: PBE
Structure: optimized geometry

Unit cell a=5.5013 b=5.5013 c=5.6803 alpha=90.00 beta=90.00 gamma=90.00
Positions (direct):
Y: 0.0000 0.0000 0.0000
In: 0.5000 0.5000 0.5000
Se: 0.0000 0.5000 0.0000
Se: 0.5000 0.0000 0.0000
Br: 0.0000 0.0000 0.5000

Output
space-group type = No. 123
formation energy without anion corrections = -0.92 eV/atom
M_tot = 0.077 μB/atom


Record 28
Compound: YInSe2Br
Source: Alexandria
Functional: PBE
Structure: optimized geometry

Unit cell a=5.3001 b=5.3001 c=5.2286 alpha=90.00 beta=90.00 gamma=90.00
Positions (direct):
Y: 0.0000 0.0000 0.0000
In: 0.5000 0.5000 0.5000
Se: 0.0000 0.5000 0.5000
Se: 0.5000 0.0000 0.5000
Br: 0.5000 0.5000 0.0000

Output
space-group type = No. 123
formation energy without anion corrections = -0.40 eV/atom
M_tot = 0.064 μB/atom